Entry from Alexandria: a relaxed CaTbHo crystal (GGA-PBE).

Calculated values
**Crystal system**: trigonal
**Calculated volume**: 34.163 A^3/atom
**Offset from the most stable computed form**: 0.08 eV/f.u.
**Formation energy from the elements**: 0.07 eV/atom
**DOS at the Fermi energy**: 4.902 states/eV per cell
**ρ**: 5.9 g cm⁻³

The structure in POSCAR format:
```
CaTbHo
1.0
3.6097 0.0000 0.0000
-1.8048 3.1261 0.0000
0.0000 0.0000 9.0827
Ca Tb Ho
1 1 1
Direct
0.0000 0.0000 0.0000
0.6667 0.3333 0.3506
0.3333 0.6667 0.6536
```

=====

Entry from Alexandria: a relaxed PmTm2InPd4 crystal (GGA-PBE).

Calculated values
**Crystal system**: trigonal
**Calculated volume**: 20.660 A^3/atom
**Formation energy from the elements**: -0.82 eV/atom
**DOS at the Fermi energy**: 5.594 states/eV per cell
**ρ**: 10.3 g cm⁻³

The structure in POSCAR format:
```
PmTm2InPd4
1.0
2.4388 1.4080 8.0220
-2.4388 1.4080 8.0220
0.0000 -2.8160 8.0220
Pm Tm In Pd
1 2 1 4
Direct
0.0000 0.0000 0.0000
0.2444 0.2444 0.2444
0.7556 0.7556 0.7556
0.5000 0.5000 0.5000
0.1244 0.1244 0.1244
0.3794 0.3794 0.3794
0.6206 0.6206 0.6206
0.8756 0.8756 0.8756
```

=====

Entry from Alexandria: a relaxed Pm3ErCd3 crystal (GGA-PBE).

Calculated values
**Crystal system**: orthorhombic
**Calculated volume**: 29.742 A^3/atom
**Formation energy from the elements**: -0.15 eV/atom
**DOS at the Fermi energy**: 18.805 states/eV per cell
**ρ**: 7.5 g cm⁻³

The structure in POSCAR format:
```
Pm3ErCd3
1.0
5.3145 -5.4804 0.0000
5.3145 5.4804 0.0000
0.0000 0.0000 7.1480
Pm Er Cd
6 2 6
Direct
0.2318 0.2318 0.5000
0.2333 0.2333 0.0000
0.2467 0.7533 0.0000
0.7533 0.2467 0.0000
0.7667 0.7667 0.0000
0.7682 0.7682 0.5000
0.2509 0.7491 0.5000
0.7491 0.2509 0.5000
0.0000 0.5000 0.2563
0.0000 0.5000 0.7437
0.5000 0.0000 0.2563
0.5000 0.0000 0.7437
0.5000 0.5000 0.2543
0.5000 0.5000 0.7457
```